(1)
Computed, not measured: crystalline BaAg3F at its relaxed geometry at the PBE level of DFT.

Values from the calculation:
The energy relative to the elements, uncorrected is -0.22 eV/atom. The energy comes out at -2.69 eV/atom. As for the space-group type: No. 221. The density of states at the Fermi level is 4.3 states/eV/f.u. The theoretical density comes out at 6.35 g/cm3.

Unit cell a=5.0074 b=5.0074 c=5.0074 alpha=90.00 beta=90.00 gamma=90.00
With the nearest neighbours (Å) after each atom.
Atoms (fractional coordinates):
Ba  0.0000  0.0000  0.0000  12 Ag 3.54
Ag  0.0000  0.5000  0.5000  2 F 2.50
Ag  0.5000  0.0000  0.5000  2 F 2.50
Ag  0.5000  0.5000  0.0000  2 F 2.50
F  0.5000  0.5000  0.5000  6 Ag 2.50


(2)
Computed, not measured: crystalline BaAg2F7 at its relaxed geometry at the PBE level of DFT.

Values from the calculation:
The energy relative to the elements, uncorrected is -1.86 eV/atom. The energy comes out at -3.93 eV/atom. As for the space-group type: No. 65. The density of states at the Fermi level is 4.2 states/eV/f.u. The theoretical density comes out at 5.01 g/cm3.

Unit cell a=6.5912 b=6.5912 c=4.1349 alpha=90.00 beta=90.00 gamma=116.33
With the nearest neighbours (Å) after each atom.
Atoms (fractional coordinates):
Ba  0.0000  0.0000  0.0000  8 F 2.84
Ag  0.3133  0.6867  0.5000  5 F 2.07-2.31
Ag  0.6867  0.3133  0.5000  5 F 2.07-2.31
F  0.0462  0.3131  0.5000  2 Ag 2.31-2.37, 1 F 2.50
F  0.3043  0.6957  0.0000  2 Ag 2.07
F  0.3131  0.0462  0.5000  2 Ag 2.31-2.37, 1 F 2.50
F  0.5000  0.5000  0.5000  2 Ag 2.09
F  0.6869  0.9538  0.5000  2 Ag 2.31-2.37, 1 F 2.50
F  0.6957  0.3043  0.0000  2 Ag 2.07
F  0.9538  0.6869  0.5000  2 Ag 2.31-2.37, 1 F 2.50


(3)
Computed, not measured: crystalline Ba2Ag2F at its relaxed geometry at the PBE level of DFT.

Values from the calculation:
The energy relative to the elements, uncorrected is -0.86 eV/atom. The energy comes out at -3.14 eV/atom. As for the space-group type: No. 139. The density of states at the Fermi level is 3.7 states/eV/f.u. The theoretical density comes out at 5.88 g/cm3.

Unit cell a=3.9362 b=3.9362 c=18.5776 alpha=90.00 beta=90.00 gamma=90.00
With the nearest neighbours (Å) after each atom.
Atoms (fractional coordinates):
Ba  0.0000  0.0000  0.1020  4 F 3.37, 4 Ag 3.38
Ba  0.0000  0.0000  0.8980  4 F 3.37, 4 Ag 3.38
Ba  0.5000  0.5000  0.3980  4 F 3.37, 4 Ag 3.38
Ba  0.5000  0.5000  0.6020  4 F 3.37, 4 Ag 3.38
Ag  0.0000  0.5000  0.2500  4 Ag 2.78
Ag  0.0000  0.5000  0.7500  4 Ag 2.78
Ag  0.5000  0.0000  0.2500  4 Ag 2.78
Ag  0.5000  0.0000  0.7500  4 Ag 2.78
F  0.0000  0.0000  0.5000  8 Ba 3.37
F  0.5000  0.5000  0.0000  8 Ba 3.37